A plane-wave DFT calculation with PBE-GGA was carried out for a geometry-optimized Sr2Li5Cd5 structure.

## Properties
Its space group is Pmmm. Its formation energy is -0.253 eV/atom. Its density of states at the Fermi level is 0.51 states/eV per atom. The value obtained for the energy is -0.1258 Ry/atom. As for the calculated volume: 293 Å³/cell.

Cell: 4.721 5.885 10.552 Å, 90.00 90.00 90.00°
Fractional coordinates of all 12 atoms:
Sr1 0.000 0.000 0.000
Sr2 0.000 0.500 0.500
Li1 0.500 0.000 0.500
Li2 0.500 0.248 0.247
Li3 0.500 0.248 0.753
Li4 0.500 0.752 0.247
Li5 0.500 0.752 0.753
Cd1 0.000 0.000 0.331
Cd2 0.000 0.000 0.669
Cd3 0.000 0.500 0.179
Cd4 0.000 0.500 0.821
Cd5 0.500 0.500 0.000


A plane-wave DFT calculation with PBE-GGA was carried out for a geometry-optimized ZrPC2O structure.

## Properties
Its space group is P4/mmm. Its uncorrected formation energy is 13 kJ/mol of atoms. Its density of states at the Fermi level is 0.21 states/eV per atom. The value obtained for the energy is -0.5390 Ry/atom. As for the calculated volume: 49 Å³/cell.

Cell: 3.591 3.591 3.791 Å, 90.00 90.00 90.00°
Fractional coordinates of all 5 atoms:
Zr1 0.000 0.000 0.000
P1 0.500 0.500 0.500
C1 0.000 0.500 0.500
C2 0.500 0.000 0.500
O1 0.500 0.500 0.000


A plane-wave DFT calculation with PBE-GGA was carried out for a geometry-optimized Cd2InTc structure.

## Properties
Its space group is Cm. Its formation energy is 0.345 eV/atom. Its density of states at the Fermi level is 0.59 states/eV per atom. The value obtained for the energy is -0.2490 Ry/atom. As for the calculated volume: 78 Å³/cell.

Cell: 5.246 5.246 5.376 Å, 99.36 99.36 32.50°
Fractional coordinates of all 4 atoms:
Cd1 0.000 0.000 0.000
Cd2 0.242 0.242 0.774
In1 0.768 0.768 0.302
Tc1 0.512 0.512 0.499


A plane-wave DFT calculation with PBE-GGA was carried out for a geometry-optimized ZnAgIr2 structure.

## Properties
Its space group is P4/mmm. Its formation energy is 0.369 eV/atom. Its density of states at the Fermi level is 1.03 states/eV per atom. The value obtained for the energy is -0.3743 Ry/atom. As for the calculated volume: 60 Å³/cell.

Cell: 4.353 4.353 3.178 Å, 90.00 90.00 90.00°
Fractional coordinates of all 4 atoms:
Zn1 0.000 0.000 0.000
Ag1 0.500 0.500 0.000
Ir1 0.000 0.500 0.500
Ir2 0.500 0.000 0.500


A plane-wave DFT calculation with PBE-GGA was carried out for a geometry-optimized Ca3SiI2 structure.

## Properties
Its space group is C2/m. Its uncorrected formation energy is -99 kJ/mol of atoms. The value obtained for the energy is -0.2530 Ry/atom. As for the calculated volume: 406 Å³/cell.

Cell: 7.839 7.839 8.064 Å, 99.42 99.42 119.91°
Fractional coordinates of all 12 atoms:
Ca1 0.057 0.432 0.798
Ca2 0.194 0.194 0.199
Ca3 0.432 0.057 0.798
Ca4 0.568 0.943 0.202
Ca5 0.806 0.806 0.801
Ca6 0.943 0.568 0.202
Si1 0.167 0.833 0.000
Si2 0.833 0.167 0.000
I1 0.000 0.000 0.500
I2 0.344 0.656 0.500
I3 0.500 0.500 0.000
I4 0.656 0.344 0.500


A plane-wave DFT calculation with PBE-GGA was carried out for a geometry-optimized FeCuTc2 structure.

## Properties
Its space group is I-4m2. Its formation energy is 0.155 eV/atom. Its density of states at the Fermi level is 0.85 states/eV per atom. The value obtained for the energy is -0.6003 Ry/atom. As for the calculated volume: 53 Å³/cell.

Cell: 4.609 4.609 4.609 Å, 132.06 132.06 70.13°
Fractional coordinates of all 4 atoms:
Fe1 0.000 0.000 0.000
Cu1 0.750 0.250 0.500
Tc1 0.250 0.750 0.500
Tc2 0.500 0.500 0.000


A plane-wave DFT calculation with PBE-GGA was carried out for a geometry-optimized NaSi2AgSe structure.

## Properties
Its space group is P4/mmm. Its uncorrected formation energy is 52 kJ/mol of atoms. Its density of states at the Fermi level is 0.47 states/eV per atom. The value obtained for the energy is -0.2321 Ry/atom. As for the calculated volume: 122 Å³/cell.

Cell: 4.781 4.781 5.320 Å, 90.00 90.00 90.00°
Fractional coordinates of all 5 atoms:
Na1 0.000 0.000 0.000
Si1 0.000 0.500 0.500
Si2 0.500 0.000 0.500
Ag1 0.000 0.000 0.500
Se1 0.500 0.500 0.000


A plane-wave DFT calculation with PBE-GGA was carried out for a geometry-optimized Tb2ScSe structure.

## Properties
Its space group is R-3m. Its uncorrected formation energy is -45 kJ/mol of atoms. Its density of states at the Fermi level is 1.40 states/eV per atom. The value obtained for the energy is -0.3848 Ry/atom. As for the calculated volume: 117 Å³/cell.

Cell: 10.149 10.149 10.149 Å, 20.97 20.97 20.97°
Fractional coordinates of all 4 atoms:
Tb1 0.105 0.105 0.105
Tb2 0.895 0.895 0.895
Sc1 0.000 0.000 0.000
Se1 0.500 0.500 0.500


A plane-wave DFT calculation with PBE-GGA was carried out for a geometry-optimized Ca2CoHgN structure.

## Properties
Its space group is P4/mmm. Its uncorrected formation energy is -54 kJ/mol of atoms. Its density of states at the Fermi level is 0.49 states/eV per atom. The value obtained for the energy is -0.3315 Ry/atom. As for the calculated volume: 95 Å³/cell.

Cell: 5.143 5.143 3.581 Å, 90.00 90.00 90.00°
Fractional coordinates of all 5 atoms:
Ca1 0.000 0.500 0.000
Ca2 0.500 0.000 0.000
Co1 0.000 0.000 0.500
Hg1 0.500 0.500 0.500
N1 0.000 0.000 0.000


A plane-wave DFT calculation with PBE-GGA was carried out for a geometry-optimized NiCl structure.

## Properties
Its space group is Pm-3m. Its uncorrected formation energy is 36 kJ/mol of atoms. Its density of states at the Fermi level is 1.40 states/eV per atom. The value obtained for the energy is -0.2529 Ry/atom. As for the calculated volume: 29 Å³/cell.

Cell: 3.088 3.088 3.088 Å, 90.00 90.00 90.00°
Fractional coordinates of all 2 atoms:
Ni1 0.000 0.000 0.000
Cl1 0.500 0.500 0.500


A plane-wave DFT calculation with PBE-GGA was carried out for a geometry-optimized KBa2Tc2 structure.

## Properties
Its space group is I4/mmm. Its formation energy is 0.532 eV/atom. Its density of states at the Fermi level is 1.55 states/eV per atom. The value obtained for the energy is -0.3383 Ry/atom. As for the calculated volume: 181 Å³/cell.

Cell: 13.968 13.968 13.968 Å, 165.05 165.05 21.20°
Fractional coordinates of all 5 atoms:
K1 0.000 0.000 0.000
Ba1 0.353 0.353 0.000
Ba2 0.647 0.647 0.000
Tc1 0.250 0.750 0.500
Tc2 0.750 0.250 0.500


A plane-wave DFT calculation with PBE-GGA was carried out for a geometry-optimized K3CeAs2O8 structure.

## Properties
Its space group is P2_1/m. Its uncorrected formation energy is -191 kJ/mol of atoms. Its density of states at the Fermi level is 0.50 states/eV per atom. The value obtained for the energy is -0.4510 Ry/atom. As for the calculated volume: 468 Å³/cell.

Cell: 7.753 6.016 10.049 Å, 90.00 91.70 90.00°
Fractional coordinates of all 28 atoms:
K1 0.008 0.250 0.194
K2 0.140 0.750 0.414
K3 0.300 0.250 0.913
K4 0.700 0.750 0.087
K5 0.860 0.250 0.586
K6 0.992 0.750 0.806
Ce1 0.490 0.750 0.715
Ce2 0.510 0.250 0.285
As1 0.260 0.750 0.086
As2 0.311 0.250 0.571
As3 0.689 0.750 0.429
As4 0.740 0.250 0.914
O1 0.043 0.750 0.107
O2 0.204 0.250 0.418
O3 0.258 0.018 0.663
O4 0.258 0.482 0.663
O5 0.314 0.750 0.921
O6 0.349 0.515 0.161
O7 0.349 0.985 0.161
O8 0.473 0.750 0.465
O9 0.527 0.250 0.535
O10 0.651 0.015 0.839
O11 0.651 0.485 0.839
O12 0.686 0.250 0.079
O13 0.742 0.518 0.337
O14 0.742 0.982 0.337
O15 0.796 0.750 0.582
O16 0.957 0.250 0.893


A plane-wave DFT calculation with PBE-GGA was carried out for a geometry-optimized Th4B3PdRh12 structure.

## Properties
Its space group is Im-3m. Its formation energy is -0.650 eV/atom. Its density of states at the Fermi level is 1.18 states/eV per atom. The value obtained for the energy is -0.5737 Ry/atom. As for the calculated volume: 338 Å³/cell.

Cell: 7.599 7.599 7.599 Å, 109.47 109.47 109.47°
Fractional coordinates of all 20 atoms:
Th1 0.000 0.000 0.500
Th2 0.000 0.500 0.000
Th3 0.500 0.000 0.000
Th4 0.500 0.500 0.500
B1 0.000 0.500 0.500
B2 0.500 0.000 0.500
B3 0.500 0.500 0.000
Pd1 0.000 0.000 0.000
Rh1 0.000 0.280 0.280
Rh2 0.000 0.720 0.720
Rh3 0.250 0.500 0.750
Rh4 0.250 0.750 0.500
Rh5 0.280 0.000 0.280
Rh6 0.280 0.280 0.000
Rh7 0.500 0.250 0.750
Rh8 0.500 0.750 0.250
Rh9 0.720 0.000 0.720
Rh10 0.720 0.720 0.000
Rh11 0.750 0.250 0.500
Rh12 0.750 0.500 0.250


A plane-wave DFT calculation with PBE-GGA was carried out for a geometry-optimized Mg2POs structure.

## Properties
Its space group is P4mm. Its formation energy is -0.180 eV/atom. Its density of states at the Fermi level is 0.45 states/eV per atom. The value obtained for the energy is -0.3776 Ry/atom. As for the calculated volume: 69 Å³/cell.

Cell: 3.012 3.012 7.600 Å, 90.00 90.00 90.00°
Fractional coordinates of all 4 atoms:
Mg1 0.000 0.000 0.000
Mg2 0.500 0.500 0.339
P1 0.500 0.500 0.747
Os1 0.000 0.000 0.599


A plane-wave DFT calculation with PBE-GGA was carried out for a geometry-optimized TbCe3Se6 structure.

## Properties
Its space group is R-3. Its uncorrected formation energy is -171 kJ/mol of atoms. Its density of states at the Fermi level is 1.96 states/eV per atom. The value obtained for the energy is -0.4488 Ry/atom. As for the calculated volume: 597 Å³/cell.

Cell: 8.542 8.542 8.542 Å, 99.02 99.02 99.02°
Fractional coordinates of all 20 atoms:
Tb1 0.000 0.000 0.000
Tb2 0.500 0.500 0.500
Ce1 0.122 0.789 0.616
Ce2 0.211 0.384 0.878
Ce3 0.384 0.878 0.211
Ce4 0.616 0.122 0.789
Ce5 0.789 0.616 0.122
Ce6 0.878 0.211 0.384
Se1 0.065 0.683 0.924
Se2 0.076 0.935 0.317
Se3 0.177 0.434 0.549
Se4 0.317 0.076 0.935
Se5 0.434 0.549 0.177
Se6 0.451 0.823 0.566
Se7 0.549 0.177 0.434
Se8 0.566 0.451 0.823
Se9 0.683 0.924 0.065
Se10 0.823 0.566 0.451
Se11 0.924 0.065 0.683
Se12 0.935 0.317 0.076


A plane-wave DFT calculation with PBE-GGA was carried out for a geometry-optimized ZnW structure.

## Properties
Its space group is P6_3/mmc. Its formation energy is 0.513 eV/atom. Its density of states at the Fermi level is 0.31 states/eV per atom. The value obtained for the energy is -0.4852 Ry/atom. As for the calculated volume: 127 Å³/cell.

Cell: 4.221 4.221 8.249 Å, 90.00 90.00 120.00°
Fractional coordinates of all 8 atoms:
Zn1 0.000 0.000 0.250
Zn2 0.000 0.000 0.750
Zn3 0.333 0.667 0.250
Zn4 0.667 0.333 0.750
W1 0.333 0.667 0.570
W2 0.333 0.667 0.930
W3 0.667 0.333 0.070
W4 0.667 0.333 0.430


A plane-wave DFT calculation with PBE-GGA was carried out for a geometry-optimized MnCd structure.

## Properties
Its space group is Fddd. Its formation energy is 0.520 eV/atom. Its density of states at the Fermi level is 1.07 states/eV per atom. The value obtained for the energy is -0.3324 Ry/atom. As for the calculated volume: 155 Å³/cell.

Cell: 8.764 7.975 4.924 Å, 81.92 64.28 33.80°
Fractional coordinates of all 8 atoms:
Mn1 0.040 0.040 0.210
Mn2 0.210 0.210 0.040
Mn3 0.790 0.790 0.960
Mn4 0.960 0.960 0.790
Cd1 0.214 0.536 0.214
Cd2 0.464 0.786 0.464
Cd3 0.536 0.214 0.536
Cd4 0.786 0.464 0.786


A plane-wave DFT calculation with PBE-GGA was carried out for a geometry-optimized ScFeBr2 structure.

## Properties
Its space group is Fm-3m. Its uncorrected formation energy is 13 kJ/mol of atoms. Its density of states at the Fermi level is 2.16 states/eV per atom. The value obtained for the energy is -0.3232 Ry/atom. As for the calculated volume: 71 Å³/cell.

Cell: 4.650 4.650 4.650 Å, 60.00 60.00 60.00°
Fractional coordinates of all 4 atoms:
Sc1 0.000 0.000 0.000
Fe1 0.500 0.500 0.500
Br1 0.250 0.250 0.250
Br2 0.750 0.750 0.750


A plane-wave DFT calculation with PBE-GGA was carried out for a geometry-optimized ReW structure.

## Properties
Its space group is C2/m. Its formation energy is 0.214 eV/atom. Its density of states at the Fermi level is 0.96 states/eV per atom. The value obtained for the energy is -0.9177 Ry/atom. As for the calculated volume: 63 Å³/cell.

Cell: 4.914 4.914 4.834 Å, 99.67 99.67 33.14°
Fractional coordinates of all 4 atoms:
Re1 0.130 0.130 0.377
Re2 0.870 0.870 0.623
W1 0.380 0.380 0.133
W2 0.620 0.620 0.867


A plane-wave DFT calculation with PBE-GGA was carried out for a geometry-optimized AcTlSeO structure.

## Properties
Its space group is R3m. Its uncorrected formation energy is -171 kJ/mol of atoms. Its density of states at the Fermi level is 0.00 states/eV per atom. The value obtained for the energy is -0.4042 Ry/atom. As for the calculated volume: 115 Å³/cell.

Cell: 8.493 8.493 8.493 Å, 27.53 27.53 27.53°
Fractional coordinates of all 4 atoms:
Ac1 0.000 0.000 0.000
Tl1 0.838 0.838 0.838
Se1 0.428 0.428 0.428
O1 0.302 0.302 0.302